This record from Alexandria via LeMat-Bulk describes a relaxed structure of Ac3Y2Ho2. The functional is PBE.

```
7
Lattice="5.551 0.000 0.737 0.000 3.718 0.000 1.131 0.000 12.762" Properties=species:S:1:pos:R:3 pbc="T T T"
Ac 0.000 0.000 0.000
Ac 1.636 0.000 8.958
Ac 5.047 0.000 4.541
Ho 2.070 1.859 5.688
Ho 4.613 1.859 7.810
Y 4.146 1.859 11.326
Y 2.536 1.859 2.173
```

Output
Energy of formation from the pure elements in eV/atom: 0.073
Energy in eV per cell: -33.90
Calculated density in g/cm3: 7.583
DOS at the Fermi energy in states/eV/atom: 1.627